1.
# Pm3TaPd12

Pm3TaPd12 after structural relaxation (PBE, Alexandria).

Results
D(E_F) (states/eV/f.u.): 3.64
Formation energy from the elements (eV/atom): -0.725
Space group: No. 123

a b c (Å): 4.130 4.130 16.492
angles (deg): 90.00 90.00 90.00
Positions (direct):
Pm  0.000  0.000  0.000
Pm  0.000  0.000  0.252
Pm  0.000  0.000  0.748
Ta  0.000  0.000  0.500
Pd  0.000  0.500  0.129
Pd  0.000  0.500  0.389
Pd  0.000  0.500  0.611
Pd  0.000  0.500  0.871
Pd  0.500  0.000  0.129
Pd  0.500  0.000  0.389
Pd  0.500  0.000  0.611
Pd  0.500  0.000  0.871
Pd  0.500  0.500  0.000
Pd  0.500  0.500  0.260
Pd  0.500  0.500  0.500
Pd  0.500  0.500  0.740


2.
# CaErPb2

CaErPb2 after structural relaxation (PBE, Alexandria).

Results
D(E_F) (states/eV/f.u.): 3.01
Formation energy from the elements (eV/atom): -0.423
Space group: No. 123

a b c (Å): 5.160 5.160 4.357
angles (deg): 90.00 90.00 90.00
Positions (direct):
Ca  0.000  0.000  0.000
Er  0.500  0.500  0.000
Pb  0.000  0.500  0.500
Pb  0.500  0.000  0.500


3.
# ReNi

ReNi after structural relaxation (PBE, Alexandria).

Results
D(E_F) (states/eV/f.u.): 1.85
Formation energy from the elements (eV/atom): 0.071
Space group: No. 12

a b c (Å): 5.004 5.004 4.595
angles (deg): 115.86 115.86 30.43
Positions (direct):
Re  0.118  0.118  0.288
Re  0.882  0.882  0.712
Ni  0.372  0.372  0.205
Ni  0.628  0.628  0.795


4.
# BaNaHg2Pt

BaNaHg2Pt after structural relaxation (PBE, Alexandria).

Results
D(E_F) (states/eV/f.u.): 2.72
Formation energy from the elements (eV/atom): -0.446
Space group: No. 44
Energy above the lowest structure with this stoichiometry (meV per atom): 0

a b c (Å): 7.646 7.646 7.646
angles (deg): 146.17 145.64 48.98
Positions (direct):
Ba  0.000  0.000  0.000
Na  0.280  0.780  0.500
Hg  0.628  0.628  0.000
Hg  0.791  0.291  0.500
Pt  0.428  0.428  0.000


5.
# Cs2V3Br8

Cs2V3Br8 after structural relaxation (PBE, Alexandria).

Results
Formation energy (no corrections) (eV/atom): -1.081
Space group: No. 12

a b c (Å): 9.489 9.489 6.940
angles (deg): 104.91 104.91 49.82
Positions (direct):
Cs  0.239  0.239  0.178
Cs  0.761  0.761  0.822
V  0.248  0.752  0.500
V  0.500  0.500  0.000
V  0.752  0.248  0.500
Br  0.093  0.093  0.447
Br  0.182  0.647  0.117
Br  0.353  0.818  0.883
Br  0.415  0.415  0.610
Br  0.585  0.585  0.390
Br  0.647  0.182  0.117
Br  0.818  0.353  0.883
Br  0.907  0.907  0.553


6.
# MgFe2Br

MgFe2Br after structural relaxation (PBE, Alexandria).

Results
D(E_F) (states/eV/f.u.): 2.73
Formation energy (no corrections) (eV/atom): 0.502
Space group: No. 166
Energy above the lowest structure with this stoichiometry (meV per atom): 389

a b c (Å): 8.566 8.566 8.566
angles (deg): 20.69 20.69 20.69
Positions (direct):
Mg  0.000  0.000  0.000
Fe  0.246  0.246  0.246
Fe  0.754  0.754  0.754
Br  0.500  0.500  0.500


7.
# In2RuW

In2RuW after structural relaxation (PBE, Alexandria).

Results
D(E_F) (states/eV/f.u.): 2.80
Formation energy from the elements (eV/atom): 0.539
Space group: No. 71
Energy above the lowest structure with this stoichiometry (meV per atom): 347

a b c (Å): 5.575 5.575 5.575
angles (deg): 148.44 126.35 63.59
Positions (direct):
In  0.238  0.238  0.000
In  0.762  0.762  0.000
Ru  0.000  0.500  0.500
W  0.500  0.000  0.500


8.
# Zn3CuNi

Zn3CuNi after structural relaxation (PBE, Alexandria).

Results
D(E_F) (states/eV/f.u.): 3.45
Formation energy from the elements (eV/atom): 0.633
Space group: No. 221
Energy above the lowest structure with this stoichiometry (meV per atom): 767

a b c (Å): 4.468 4.468 4.468
angles (deg): 90.00 90.00 90.00
Positions (direct):
Zn  0.000  0.000  0.500
Zn  0.000  0.500  0.000
Zn  0.500  0.000  0.000
Cu  0.000  0.000  0.000
Ni  0.500  0.500  0.500


9.
# La2PrPd6Pb3

La2PrPd6Pb3 after structural relaxation (PBE, Alexandria).

Results
D(E_F) (states/eV/f.u.): 7.55
Formation energy from the elements (eV/atom): -0.400
Space group: No. 123

a b c (Å): 4.007 4.007 19.658
angles (deg): 90.00 90.00 90.00
Positions (direct):
La  0.000  0.000  0.182
La  0.000  0.000  0.818
Pr  0.000  0.000  0.500
Pd  0.000  0.500  0.387
Pd  0.000  0.500  0.613
Pd  0.500  0.000  0.387
Pd  0.500  0.000  0.613
Pd  0.500  0.500  0.137
Pd  0.500  0.500  0.863
Pb  0.500  0.500  0.000
Pb  0.500  0.500  0.289
Pb  0.500  0.500  0.711


10.
# Tl2SbSe

Tl2SbSe after structural relaxation (PBE, Alexandria).

Results
D(E_F) (states/eV/f.u.): 1.88
Formation energy (no corrections) (eV/atom): -0.014
Space group: No. 65
Energy above the lowest structure with this stoichiometry (meV per atom): 84

a b c (Å): 5.685 5.685 3.876
angles (deg): 90.00 90.00 112.35
Positions (direct):
Tl  0.000  0.500  0.000
Tl  0.500  0.000  0.000
Sb  0.000  0.000  0.500
Se  0.500  0.500  0.500


11.
# LaSbO2

LaSbO2 after structural relaxation (PBE, Alexandria).

Results
D(E_F) (states/eV/f.u.): 0.70
Formation energy (no corrections) (eV/atom): -2.256
Space group: No. 166

a b c (Å): 7.014 7.014 7.014
angles (deg): 30.91 30.91 30.91
Positions (direct):
La  0.000  0.000  0.000
Sb  0.500  0.500  0.500
O  0.387  0.387  0.387
O  0.613  0.613  0.613


12.
# Tb7Er5

Tb7Er5 after structural relaxation (PBE, Alexandria).

Results
D(E_F) (states/eV/f.u.): 19.84
Formation energy from the elements (eV/atom): 0.190
Space group: No. 12
Energy above the lowest structure with this stoichiometry (meV per atom): 186

a b c (Å): 5.549 5.549 14.606
angles (deg): 101.14 101.14 60.86
Positions (direct):
Tb  0.000  0.000  0.000
Tb  0.189  0.189  0.581
Tb  0.268  0.268  0.828
Tb  0.443  0.443  0.287
Tb  0.557  0.557  0.713
Tb  0.732  0.732  0.172
Tb  0.811  0.811  0.419
Er  0.113  0.113  0.304
Er  0.355  0.355  0.059
Er  0.500  0.500  0.500
Er  0.645  0.645  0.941
Er  0.887  0.887  0.696


One value per record, in order, for energy: -100.0, -15.7, -36.2, -12.1, -56.5, -18.2, -25.5, -10.5, -61.7, -12.4, -28.0, -52.9 eV/cell.
One value per record, in order, for size of the total moment: 0.00, 0.00, 0.00, 0.00, 9.00, 5.74, 0.00, 0.26, 0.00, 0.00, 0.00, 0.00 μB/f.u..